Record 1
A crystal of Ga2H6Se3O12 relaxed with PBEsol. Source: Alexandria via LeMat-Bulk, functional SCAN.

abc: 9.2058 9.2058 19.6288
angles: 90.00 90.00 120.00
With the nearest neighbours (Å) after each atom.
Space group R3c (No. 161, hexagonal axes)
Unique sites:
Ga: 0.0000 0.0000 0.0000 x6  6 O 1.95-2.00
Ga: 0.0000 0.0000 0.2418 x6  6 O 1.96-2.00
H: 0.1145 0.3603 0.4584 x18  1 O 1.01
H: 0.1924 0.0801 0.3492 x18  1 O 1.00
Se: 0.0569 0.4977 0.2886 x18  3 O 1.72-1.77
O: 0.0291 0.1891 0.0554 x18  1 Se 1.72
O: 0.0323 0.1946 0.1892 x18  1 Se 1.72
O: 0.1765 0.4703 0.1099 x18  2 H 1.72-1.89, 1 Se 1.77
O: 0.1882 0.0526 0.8063 x18  2 H 1.00-1.01

Values from the calculation:
The total energy is -9.40 eV per atom.



Record 2
A crystal of Cd2SbAs relaxed with PBEsol. Source: Alexandria via LeMat-Bulk, functional SCAN.

abc: 3.2936 4.3318 6.4681
angles: 90.00 102.97 90.00
With the nearest neighbours (Å) after each atom.
Space group P2/m (No. 10)
Unique sites:
Cd: 0.0243 0.0000 0.2674 x2  2 As 2.89, 1 Cd 3.05, 2 Sb 3.05
Sb: 0.5000 0.5000 0.0000 x1  8 Cd 3.05-3.37, 2 As 3.23, 2 Sb 3.29
As: 0.5000 0.5000 0.5000 x1  4 Cd 2.89, 2 Sb 3.23

Values from the calculation:
The calculation puts the energy above the most stable polymorph in this dataset at 88.4 meV/atom. For the uncorrected formation energy, the calculation gives 20.1 kJ per mole of atoms.



Record 3
A crystal of Mg2ZnIn relaxed with PBEsol. Source: Alexandria via LeMat-Bulk, functional SCAN.

abc: 6.1199 8.3194 3.1514
angles: 90.00 90.00 90.00
With the nearest neighbours (Å) after each atom.
Space group Cmmm (No. 65)
Unique sites:
Mg: 0.2500 0.2500 0.0000 x4  4 In 3.02, 4 Zn 3.02, 4 Mg 3.06-3.15
Zn: 0.0000 0.0000 0.5000 x2  8 Mg 3.02, 2 In 3.06, 2 Zn 3.15
In: 0.0000 0.5000 0.5000 x2  8 Mg 3.02, 2 Zn 3.06, 2 In 3.15

Values from the calculation:
Its formation energy is -111 meV/atom.



Record 4
A crystal of CrRe2PtAu relaxed with PBEsol. Source: Alexandria via LeMat-Bulk, functional SCAN.

abc: 4.6907 4.6907 4.6607
angles: 90.00 90.00 90.00
With the nearest neighbours (Å) after each atom.
Space group P4/mmm (No. 123)
Unique sites:
Cr: 0.0000 0.0000 0.0000 x1  2 Pt 2.33
Re: 0.0000 0.5000 0.5000 x2  2 Pt 2.35
Pt: 0.0000 0.0000 0.5000 x1  2 Cr 2.33, 4 Re 2.35
Au: 0.5000 0.5000 0.0000 x1  8 Re 3.31, 4 Cr 3.32

Values from the calculation:
Its formation energy is 1860 meV/atom.



| no. | total moment (μB per formula unit) |
| --- | --- |
| 1 | 0.00 |
| 2 | 0.00 |
| 3 | 0.00 |
| 4 | 0.99 |